DFT (PBE) results for a relaxed BaYNbSnO6 crystal.

a = 5.9583 Å, b = 6.0324 Å, c = 8.6221 Å
α = 88.57°, β = 88.66°, γ = 89.89°
Last column: nearest neighbours and their distance in Å.
Atoms (fractional coordinates):
Ba 0.0100 0.4927 0.2586  7 O 2.77-2.94
Ba 0.9900 0.5073 0.7414  7 O 2.77-2.94
Y 0.0000 0.0000 0.5000  6 O 2.25-2.31
Y 0.5000 0.5000 0.0000  6 O 2.28-2.29
Nb 0.0000 0.0000 0.0000  6 O 2.02-2.06
Nb 0.5000 0.5000 0.5000  6 O 2.00-2.11
Sn 0.4365 0.0621 0.7650  3 O 2.27-2.41
Sn 0.5635 0.9379 0.2350  3 O 2.27-2.41
O 0.0500 0.0304 0.7633  1 Nb 2.06
O 0.1865 0.7208 0.9974  1 Nb 2.02
O 0.2445 0.7147 0.5076  1 Nb 2.00
O 0.2707 0.2616 0.4782  1 Nb 2.00
O 0.2840 0.1866 0.0086  1 Nb 2.04
O 0.4744 0.4352 0.7411  1 Nb 2.11, 1 Sn 2.27, 1 Y 2.28
O 0.5256 0.5648 0.2589  1 Nb 2.11, 1 Sn 2.27, 1 Y 2.28
O 0.7160 0.8134 0.9914  1 Nb 2.04
O 0.7293 0.7383 0.5218  1 Nb 2.00
O 0.7555 0.2853 0.4924  1 Nb 2.00
O 0.8135 0.2792 0.0026  1 Nb 2.02
O 0.9500 0.9696 0.2367  1 Nb 2.06

excess energy over the best structure of this formula in the dataset: 0 meV per atom
formation energy from raw total energies: -2.607 eV/atom
density of states at the Fermi level: 0.00 states/eV per cell

=====

DFT (PBE) results for a relaxed MgCdPb crystal.

a = 13.9898 Å, b = 13.9898 Å, c = 3.3458 Å
α = 94.03°, β = 94.03°, γ = 13.80°
Last column: nearest neighbours and their distance in Å.
Atoms (fractional coordinates):
Mg 0.1146 0.1146 0.3288  4 Cd 3.05-3.08, 4 Pb 3.26-3.32, 4 Mg 3.35-3.36
Mg 0.8854 0.8854 0.6712  4 Cd 3.05-3.08, 4 Pb 3.26-3.32, 4 Mg 3.35-3.36
Cd 0.4554 0.4554 0.2198  2 Cd 2.97-3.00, 4 Mg 3.05-3.08
Cd 0.5446 0.5446 0.7802  2 Cd 2.97-3.00, 4 Mg 3.05-3.08
Pb 0.3031 0.3031 0.1042  4 Mg 3.26-3.32, 6 Pb 3.35-3.42
Pb 0.6969 0.6969 0.8958  4 Mg 3.26-3.32, 6 Pb 3.35-3.42

density of states at the Fermi level: 2.13 states/eV per cell

=====

DFT (PBE) results for a relaxed SmYCdHg crystal.

a = 5.3336 Å, b = 5.3336 Å, c = 5.3336 Å
α = 60.00°, β = 60.00°, γ = 60.00°
Last column: nearest neighbours and their distance in Å.
Atoms (fractional coordinates):
Sm 0.0000 0.0000 0.0000  4 Hg 3.27, 4 Cd 3.27
Y 0.5000 0.5000 0.5000  4 Cd 3.27, 4 Hg 3.27
Cd 0.2500 0.2500 0.2500  4 Y 3.27, 4 Sm 3.27
Hg 0.7500 0.7500 0.7500  4 Y 3.27, 4 Sm 3.27

density of states at the Fermi level: 3.99 states/eV per cell

=====

| no. | DFT total energy (eV per atom) | calculated volume (Å³/cell) |
| --- | --- | --- |
| 1 | -7.8275 | 310 |
| 2 | -2.0861 | 156 |
| 3 | -3.5088 | 107 |